VASP calculation (PBE) on a relaxed GeAu8 crystal.

```
GeAu8
1.0
3.822 0.000 0.000
1.911 6.551 0.000
1.911 0.000 6.551
Au Ge
8 1
Cartesian
3.822 4.359 4.359 Au
1.911 4.359 2.191 Au
1.911 2.156 0.000 Au
1.911 2.191 4.359 Au
3.822 0.000 4.395 Au
1.911 0.000 2.156 Au
3.822 2.191 2.191 Au
3.822 4.395 0.000 Au
0.000 0.000 0.000 Ge
```

Properties
Electronic total energy in eV per atom: -3.3855
Volume in Å³ per cell: 164
DOS(E_F) in states/eV/atom: 0.39
Energy of formation from the pure elements in meV/atom: 41